The following is a DFT calculation (PBE+U) of an optimized crystal structure of Cs2PmVF6.

abc: 6.2292 6.8162 8.9848
angles: 90.00 90.00 90.00
Positions (direct):
F 0.7439 0.9656 0.5000
F 0.2439 0.0344 0.0000
Cs 0.0000 0.2498 0.2521
F 0.0000 0.7501 0.2578
Cs 0.5000 0.7502 0.7521
Cs 0.0000 0.2498 0.7479
F 0.7562 0.4649 0.0000
F 0.5000 0.2499 0.7578
F 0.2561 0.9656 0.5000
F 0.7561 0.0344 0.0000
F 0.0000 0.7501 0.7422
F 0.2562 0.5351 0.5000
Cs 0.5000 0.7502 0.2479
F 0.2438 0.4649 0.0000
F 0.7438 0.5351 0.5000
Pm 0.0000 0.7497 0.0000
Pm 0.5000 0.2503 0.5000
F 0.5000 0.2499 0.2422
V 0.0000 0.7503 0.5000
V 0.5000 0.2497 0.0000

Summary:
The density is 5.0 g/cm3. For the density of states at the Fermi level, the calculation gives 5.73 states/eV/cell. As for the crystal system: orthorhombic. The value obtained for the total energy is -5.38 eV per atom.